# 1
VASP calculation (PBE-GGA) on a geometry-optimized NiHg2Pd structure.

Cell and atoms, written as POSCAR:
```
NiHg2Pd
1.0
3.0017 -1.5873 3.0917
-0.1159 1.5527 4.3202
-1.4316 -2.7475 3.3898
Ni Pd Hg
1 1 2
direct
0.0000 0.0000 0.0000
0.5000 0.5000 0.5000
0.2500 0.2500 0.2500
0.7500 0.7500 0.7500
```

## Properties
ΔE_f, eV per atom: 0.066
Magnetization, μB/cell: 0.00
Space-group type: Fm-3m (225)

=====

# 2
VASP calculation (PBE-GGA) on a geometry-optimized Ni2HgPd6 structure.

Cell and atoms, written as POSCAR:
```
Ni2HgPd6
1.0
4.1700 -0.0001 0.0002
0.0001 7.9154 3.2161
-0.0003 -0.2665 8.5397
Pd Ni Hg
12 4 2
direct
0.7500 0.6174 0.9816
0.7500 0.0184 0.3826
0.2500 0.7253 0.4773
0.7500 0.9887 0.8193
0.2500 0.9816 0.6174
0.2500 0.8193 0.9887
0.7500 0.4773 0.7253
0.2500 0.3826 0.0184
0.2500 0.0113 0.1807
0.2500 0.5227 0.2747
0.7500 0.2747 0.5227
0.7500 0.1807 0.0113
0.2500 0.2159 0.3441
0.7500 0.3441 0.2159
0.7500 0.7841 0.6559
0.2500 0.6559 0.7841
0.7500 0.7585 0.2415
0.2500 0.2415 0.7585
```

## Properties
ΔE_f, eV per atom: 0.093
Magnetization, μB/cell: 5.52
Space-group type: Cmcm (63)

=====

# 3
VASP calculation (PBE-GGA) on a geometry-optimized NiHg2Pd structure.

Cell and atoms, written as POSCAR:
```
NiHg2Pd
1.0
3.6769 0.0000 0.0000
0.0000 4.3153 0.0000
0.0000 0.0000 4.3153
Hg Ni Pd
2 1 1
direct
0.0000 0.0000 0.5000
0.0000 0.5000 0.0000
0.5000 0.0000 0.0000
0.5000 0.5000 0.5000
```

## Properties
ΔE_f, eV per atom: 0.057
Magnetization, μB/cell: 0.00
Space-group type: P4/mmm (123)

=====

# 4
VASP calculation (PBE-GGA) on a geometry-optimized NiHgPd4 structure.

Cell and atoms, written as POSCAR:
```
NiHgPd4
1.0
-4.3021 4.7162 1.5738
-4.1501 -3.8622 0.2295
1.8126 2.5572 5.6779
Pd Hg Ni
8 2 2
direct
0.4630 0.6397 0.7691
0.5370 0.8705 0.2309
0.4630 0.1295 0.7691
0.0000 0.7596 0.0000
0.0000 0.2404 0.0000
0.5370 0.3603 0.2309
0.1972 0.7871 0.5742
0.8028 0.2129 0.4258
0.8228 0.7272 0.4544
0.1772 0.2728 0.5456
0.7439 0.4359 0.8717
0.2561 0.5641 0.1283
```

## Properties
ΔE_f, eV per atom: 0.137
Magnetization, μB/cell: 3.18
Space-group type: C2/m (12)

=====

# 5
VASP calculation (PBE-GGA) on a geometry-optimized NiHg3Pd structure.

Cell and atoms, written as POSCAR:
```
NiHg3Pd
1.0
-0.7720 4.6935 -1.2694
-4.8251 -0.8979 -0.3855
-0.5991 1.1837 4.7409
Hg Ni Pd
3 1 1
direct
0.0000 0.5000 0.0000
0.0000 0.0000 0.5000
0.5000 0.0000 0.0000
0.0000 0.0000 0.0000
0.5000 0.5000 0.5000
```

## Properties
ΔE_f, eV per atom: 0.435
Magnetization, μB/cell: 0.00
Space-group type: Pm-3m (221)

=====

# 6
VASP calculation (PBE-GGA) on a geometry-optimized PmNiHgPd structure.

Cell and atoms, written as POSCAR:
```
PmNiHgPd
1.0
4.7905 0.0000 0.0000
2.3952 4.1487 0.0000
2.3952 1.3829 3.9114
Hg Pm Pd Ni
1 1 1 1
direct
0.5000 0.5000 0.5000
0.0000 0.0000 0.0000
0.7500 0.7500 0.7500
0.2500 0.2500 0.2500
```

## Properties
ΔE_f, eV per atom: -0.378
Magnetization, μB/cell: 0.00
Space-group type: F-43m (216)

=====

Q: Which formula does entry 3 have?
A: NiHg2Pd

=====

Q: Which value of ΔE_f does entry 2 give?
A: 0.093 eV per atom

=====

Q: The lowest ΔE_f belongs to which entry?
A: PmNiHgPd